Entry 1:
Below is a relaxed structure of ZnMoSe2, with properties calculated at the PBE-GGA level.

```
ZnMoSe2
1.0
5.9690 0.0000 0.0000
0.0000 5.9690 0.0000
2.9845 2.9845 5.3204
Mo Zn Se
2 2 4
Direct
0.0000 0.0000 0.0000
0.7500 0.2500 0.5000
0.2500 0.7500 0.5000
0.5000 0.5000 0.0000
0.3750 0.3757 0.7500
0.1257 0.6250 0.2500
0.8750 0.8743 0.7500
0.6243 0.1250 0.2500
```

Results
E_form (uncorrected) = 4.0 kJ per mole of atoms
Space-group type = I-42d, No. 122
Magnetization = 1.8 μB per formula unit
Crystal system = tetragonal



Entry 2:
Below is a relaxed structure of Ac6Ni2HgI3, with properties calculated at the PBE-GGA level.

```
Ac6Ni2HgI3
1.0
-3.5890 -2.3226 1.0132
5.6839 -8.3971 0.8845
1.1568 6.2495 8.8979
Ni Ac I Hg
2 6 3 1
Direct
0.8296 0.6588 0.6593
0.1704 0.3412 0.3407
0.9756 0.7511 0.9511
0.3383 0.8645 0.6767
0.6617 0.1355 0.3233
0.3169 0.4518 0.6338
0.0244 0.2489 0.0489
0.6831 0.5482 0.3662
0.5000 0.5000 0.0000
0.8388 0.1660 0.6775
0.1612 0.8340 0.3225
0.5000 0.0000 0.0000
```

Results
E_form (uncorrected) = -67.0 kJ per mole of atoms
Space-group type = C2/m, No. 12
Magnetization = 0.0 μB per formula unit
Crystal system = monoclinic



Entry 3:
Below is a relaxed structure of Li2NiRh2, with properties calculated at the PBE-GGA level.

```
Li2NiRh2
1.0
-0.5810 0.2306 6.6499
-5.5795 -3.6538 -0.3608
1.5885 -2.4477 0.2236
Ni Rh Li
2 4 4
Direct
0.0000 0.0000 0.0000
0.5000 0.5000 0.0000
0.6357 0.1357 0.0000
0.1357 0.3643 0.0000
0.8643 0.6357 0.0000
0.3643 0.8643 0.0000
0.6649 0.8351 0.5000
0.3351 0.1649 0.5000
0.1649 0.6649 0.5000
0.8351 0.3351 0.5000
```

Results
Space-group type = P4/mbm, No. 127
Magnetization = 1.5 μB per formula unit
Crystal system = tetragonal



Entry 4:
Below is a relaxed structure of Cs2ScBeRe, with properties calculated at the PBE-GGA level.

```
Cs2ScBeRe
1.0
-6.9813 -0.2131 1.3722
-0.7945 -1.7949 -4.3209
0.7130 -6.5859 2.6046
Be Cs Sc Re
1 2 1 1
Direct
0.5000 0.5000 0.5000
0.5000 0.0000 0.0000
0.0000 0.0000 0.5000
0.0000 0.0000 0.0000
0.0000 0.5000 0.0000
```

Results
Space-group type = P4/mmm, No. 123
Magnetization = 0.8 μB per formula unit
Crystal system = tetragonal



Entry 5:
Below is a relaxed structure of Li2Pm2Si3, with properties calculated at the PBE-GGA level.

```
Li2Pm2Si3
1.0
-4.0024 1.1573 1.3291
-1.6031 -6.5397 0.8669
5.0062 -0.1636 8.0232
Li Pm Si
4 4 6
Direct
0.6889 0.5608 0.3778
0.3111 0.4392 0.6222
0.6889 0.9392 0.3778
0.3111 0.0608 0.6222
0.0521 0.7500 0.1041
0.9479 0.2500 0.8959
0.8422 0.7500 0.6845
0.1578 0.2500 0.3155
0.4417 0.5740 0.8833
0.2201 0.7500 0.4403
0.7799 0.2500 0.5597
0.5583 0.4260 0.1167
0.4417 0.9260 0.8833
0.5583 0.0740 0.1167
```

Results
E_form (uncorrected) = -59.7 kJ per mole of atoms
Space-group type = Cmcm, No. 63
Magnetization = 0.0 μB per formula unit
Crystal system = orthorhombic



Entry 6:
Below is a relaxed structure of Dy3Co7Si2, with properties calculated at the PBE-GGA level.

```
Dy3Co7Si2
1.0
-4.2329 2.5004 -1.5447
-4.6423 -1.5542 1.6094
-2.4289 4.8765 5.9534
Dy Co Si
3 7 2
Direct
0.1415 0.1415 0.5756
0.0000 0.0000 0.0000
0.8585 0.8585 0.4244
0.5771 0.0821 0.7636
0.4229 0.4229 0.2364
0.0821 0.5771 0.7636
0.5771 0.5771 0.7636
0.4229 0.9179 0.2364
0.9179 0.4229 0.2364
0.5000 0.5000 0.5000
0.3329 0.3329 0.0014
0.6671 0.6671 0.9986
```

Results
E_form (uncorrected) = -43.5 kJ per mole of atoms
Space-group type = R-3m, No. 166
Magnetization = 2.8 μB per formula unit
Crystal system = trigonal



Number 1: VASP energy -4.73 eV per atom. Number 2: VASP energy -4.12 eV per atom. Number 3: VASP energy -4.64 eV per atom. Number 4: VASP energy -3.08 eV per atom. Number 5: VASP energy -4.85 eV per atom. Number 6: VASP energy -6.65 eV per atom.